# HfAsS2N | the Alexandria database | PBE-GGA | optimized geometry
# - VASP energy: -5.82 eV per atom
# - Spin magnetization: 0.00 μB/atom
data_HfAsS2N
_symmetry_space_group_name_H-M 'P 4/m m m'
_symmetry_Int_Tables_number 123
_symmetry_space_group_name_Hall '-P 4 2'
_cell_length_a 4.7166
_cell_length_b 4.7166
_cell_length_c 3.6900
_cell_angle_alpha 90.00
_cell_angle_beta 90.00
_cell_angle_gamma 90.00
loop_
_atom_site_label
_atom_site_fract_x
_atom_site_fract_y
_atom_site_fract_z
_atom_site_occupancy
Hf1 0.0000 0.0000 0.0000 1
As1 0.5000 0.5000 0.5000 1
S1 0.0000 0.5000 0.5000 1
N1 0.5000 0.5000 0.0000 1